1.
DFT (PBE) results for a geometry-optimized NiIr2W structure.

Results
- Energy of formation from the pure elements: -23.7 kJ/mol of atoms
- Distance to the lowest polymorph of the same formula: 0.000 eV/f.u.
- DOS at the Fermi energy: 3.83 states/eV per cell
- Symmetry: I4/mmm (139)
- Magnetic moment: 0.00 μB per formula unit
- Energy: -9.360 eV/atom

The structure in CIF format:
```
data_NiIr2W
_cell_length_a 4.637
_cell_length_b 4.637
_cell_length_c 4.636
_cell_angle_alpha 130.57
_cell_angle_beta 130.56
_cell_angle_gamma 72.53
_symmetry_space_group_name_H-M 'P 1'
_symmetry_Int_Tables_number 1
loop_
_symmetry_equiv_pos_as_xyz
'x,y,z'
loop_
_atom_site_label
_atom_site_fract_x
_atom_site_fract_y
_atom_site_fract_z
_atom_site_occupancy
Ni1 0.750 0.250 0.500 1
Ir1 0.000 0.000 0.000 1
Ir2 0.500 0.500 0.000 1
W1 0.250 0.750 0.500 1
```

2.
DFT (PBE) results for a geometry-optimized TlGa2HgCl6 structure.

Results
- DOS at the Fermi energy: 6.18 states/eV per cell
- Symmetry: C2/c (15)
- Energy relative to the elements, uncorrected: -0.8630 eV/atom
- Magnetic moment: 0.00 μB per formula unit
- Energy: -2.843 eV/atom

The structure in CIF format:
```
data_TlGa2HgCl6
_cell_length_a 9.869
_cell_length_b 9.869
_cell_length_c 7.885
_cell_angle_alpha 101.18
_cell_angle_beta 101.18
_cell_angle_gamma 85.96
_symmetry_space_group_name_H-M 'P 1'
_symmetry_Int_Tables_number 1
loop_
_symmetry_equiv_pos_as_xyz
'x,y,z'
loop_
_atom_site_label
_atom_site_fract_x
_atom_site_fract_y
_atom_site_fract_z
_atom_site_occupancy
Tl1 0.645 0.355 0.250 1
Tl2 0.355 0.645 0.750 1
Ga1 0.299 0.146 0.780 1
Ga2 0.854 0.701 0.720 1
Ga3 0.701 0.854 0.220 1
Ga4 0.146 0.299 0.280 1
Hg1 0.211 0.789 0.250 1
Hg2 0.789 0.211 0.750 1
Cl1 0.957 0.434 0.240 1
Cl2 0.566 0.043 0.260 1
Cl3 0.043 0.566 0.760 1
Cl4 0.434 0.957 0.740 1
Cl5 0.171 0.152 0.010 1
Cl6 0.848 0.829 0.490 1
Cl7 0.829 0.848 0.990 1
Cl8 0.152 0.171 0.510 1
Cl9 0.334 0.428 0.366 1
Cl10 0.572 0.666 0.134 1
Cl11 0.666 0.572 0.634 1
Cl12 0.428 0.334 0.866 1
```

3.
DFT (PBE) results for a geometry-optimized Al2TeP structure.

Results
- Distance to the lowest polymorph of the same formula: 2.129 eV/f.u.
- DOS at the Fermi energy: 1.32 states/eV per cell
- Symmetry: I-4m2 (119)
- Energy relative to the elements, uncorrected: 0.2529 eV/atom
- Magnetic moment: 0.00 μB per formula unit
- Energy: -3.756 eV/atom

The structure in CIF format:
```
data_Al2TeP
_cell_length_a 6.351
_cell_length_b 6.351
_cell_length_c 6.351
_cell_angle_alpha 145.04
_cell_angle_beta 145.04
_cell_angle_gamma 50.28
_symmetry_space_group_name_H-M 'P 1'
_symmetry_Int_Tables_number 1
loop_
_symmetry_equiv_pos_as_xyz
'x,y,z'
loop_
_atom_site_label
_atom_site_fract_x
_atom_site_fract_y
_atom_site_fract_z
_atom_site_occupancy
P1 0.500 0.500 0.000 1
Te1 0.750 0.250 0.500 1
Al1 0.000 0.000 0.000 1
Al2 0.250 0.750 0.500 1
```

4.
DFT (PBE) results for a geometry-optimized LiCu2Pt structure.

Results
- Energy of formation from the pure elements: -26.7 kJ/mol of atoms
- Distance to the lowest polymorph of the same formula: 0.000 eV/f.u.
- DOS at the Fermi energy: 1.51 states/eV per cell
- Symmetry: Cmmm (65)
- Magnetic moment: 0.00 μB per formula unit
- Energy: -4.313 eV/atom

The structure in CIF format:
```
data_LiCu2Pt
_cell_length_a 4.420
_cell_length_b 4.420
_cell_length_c 2.802
_cell_angle_alpha 90.03
_cell_angle_beta 90.03
_cell_angle_gamma 105.56
_symmetry_space_group_name_H-M 'P 1'
_symmetry_Int_Tables_number 1
loop_
_symmetry_equiv_pos_as_xyz
'x,y,z'
loop_
_atom_site_label
_atom_site_fract_x
_atom_site_fract_y
_atom_site_fract_z
_atom_site_occupancy
Cu1 0.000 0.000 0.000 1
Cu2 0.500 0.500 0.000 1
Pt1 0.000 0.500 0.500 1
Li1 0.500 0.000 0.500 1
```

5.
DFT (PBE) results for a geometry-optimized NdErTi structure.

Results
- Energy of formation from the pure elements: 8.1 kJ/mol of atoms
- DOS at the Fermi energy: 9.93 states/eV per cell
- Symmetry: P4/nmm (129)
- Magnetic moment: 0.00 μB per formula unit
- Energy: -5.658 eV/atom

The structure in CIF format:
```
data_NdErTi
_cell_length_a 3.574
_cell_length_b 3.574
_cell_length_c 12.978
_cell_angle_alpha 90.00
_cell_angle_beta 90.00
_cell_angle_gamma 90.00
_symmetry_space_group_name_H-M 'P 1'
_symmetry_Int_Tables_number 1
loop_
_symmetry_equiv_pos_as_xyz
'x,y,z'
loop_
_atom_site_label
_atom_site_fract_x
_atom_site_fract_y
_atom_site_fract_z
_atom_site_occupancy
Nd1 0.000 0.500 0.601 1
Nd2 0.500 0.000 0.399 1
Er1 0.500 0.000 0.808 1
Er2 0.000 0.500 0.192 1
Ti1 0.000 0.500 0.957 1
Ti2 0.500 0.000 0.043 1
```

6.
DFT (PBE) results for a geometry-optimized LiEuCuPd structure.

Results
- Energy of formation from the pure elements: -20.4 kJ/mol of atoms
- DOS at the Fermi energy: 9.08 states/eV per cell
- Symmetry: F-43m (216)
- Magnetic moment: 7.18 μB per formula unit
- Energy: -5.581 eV/atom

The structure in CIF format:
```
data_LiEuCuPd
_cell_length_a 4.708
_cell_length_b 4.708
_cell_length_c 4.708
_cell_angle_alpha 60.00
_cell_angle_beta 60.00
_cell_angle_gamma 60.00
_symmetry_space_group_name_H-M 'P 1'
_symmetry_Int_Tables_number 1
loop_
_symmetry_equiv_pos_as_xyz
'x,y,z'
loop_
_atom_site_label
_atom_site_fract_x
_atom_site_fract_y
_atom_site_fract_z
_atom_site_occupancy
Eu1 0.000 0.000 0.000 1
Cu1 0.250 0.250 0.250 1
Pd1 0.500 0.500 0.500 1
Li1 0.750 0.750 0.750 1
```

7.
DFT (PBE) results for a geometry-optimized NaAgF2 structure.

Results
- DOS at the Fermi energy: 0.00 states/eV per cell
- Symmetry: R3m (160)
- Energy relative to the elements, uncorrected: -1.8352 eV/atom
- Magnetic moment: 0.00 μB per formula unit
- Energy: -3.813 eV/atom

The structure in CIF format:
```
data_NaAgF2
_cell_length_a 3.286
_cell_length_b 3.286
_cell_length_c 6.325
_cell_angle_alpha 74.94
_cell_angle_beta 74.94
_cell_angle_gamma 60.00
_symmetry_space_group_name_H-M 'P 1'
_symmetry_Int_Tables_number 1
loop_
_symmetry_equiv_pos_as_xyz
'x,y,z'
loop_
_atom_site_label
_atom_site_fract_x
_atom_site_fract_y
_atom_site_fract_z
_atom_site_occupancy
Na1 0.668 0.668 0.996 1
Ag1 0.499 0.499 0.503 1
F1 0.074 0.074 0.778 1
F2 0.259 0.259 0.223 1
```

8.
DFT (PBE) results for a geometry-optimized YTaCu2 structure.

Results
- Energy of formation from the pure elements: 55.3 kJ/mol of atoms
- Distance to the lowest polymorph of the same formula: 2.021 eV/f.u.
- DOS at the Fermi energy: 3.46 states/eV per cell
- Symmetry: F-43m (216)
- Magnetic moment: 2.04 μB per formula unit
- Energy: -6.054 eV/atom

The structure in CIF format:
```
data_YTaCu2
_cell_length_a 4.658
_cell_length_b 4.658
_cell_length_c 4.658
_cell_angle_alpha 60.00
_cell_angle_beta 60.00
_cell_angle_gamma 60.00
_symmetry_space_group_name_H-M 'P 1'
_symmetry_Int_Tables_number 1
loop_
_symmetry_equiv_pos_as_xyz
'x,y,z'
loop_
_atom_site_label
_atom_site_fract_x
_atom_site_fract_y
_atom_site_fract_z
_atom_site_occupancy
Cu1 0.000 0.000 0.000 1
Cu2 0.250 0.250 0.250 1
Ta1 0.500 0.500 0.500 1
Y1 0.750 0.750 0.750 1
```

9.
DFT (PBE) results for a geometry-optimized Ac2Dy3Pb4 structure.

Results
- Energy of formation from the pure elements: -48.7 kJ/mol of atoms
- Distance to the lowest polymorph of the same formula: 0.805 eV/f.u.
- DOS at the Fermi energy: 9.14 states/eV per cell
- Symmetry: Cmce (64)
- Magnetic moment: 0.00 μB per formula unit
- Energy: -4.599 eV/atom

The structure in CIF format:
```
data_Ac2Dy3Pb4
_cell_length_a 7.301
_cell_length_b 9.176
_cell_length_c 9.649
_cell_angle_alpha 90.00
_cell_angle_beta 112.23
_cell_angle_gamma 90.00
_symmetry_space_group_name_H-M 'P 1'
_symmetry_Int_Tables_number 1
loop_
_symmetry_equiv_pos_as_xyz
'x,y,z'
loop_
_atom_site_label
_atom_site_fract_x
_atom_site_fract_y
_atom_site_fract_z
_atom_site_occupancy
Ac1 0.111 0.588 0.222 1
Ac2 0.889 0.412 0.778 1
Ac3 0.389 0.088 0.778 1
Ac4 0.611 0.912 0.222 1
Dy1 0.000 0.000 0.000 1
Dy2 0.500 0.500 0.000 1
Dy3 0.542 0.750 0.583 1
Dy4 0.958 0.250 0.417 1
Dy5 0.458 0.250 0.417 1
Dy6 0.042 0.750 0.583 1
Pb1 0.714 0.750 0.928 1
Pb2 0.786 0.250 0.072 1
Pb3 0.286 0.250 0.072 1
Pb4 0.214 0.750 0.928 1
Pb5 0.187 0.948 0.374 1
Pb6 0.813 0.052 0.626 1
Pb7 0.313 0.448 0.626 1
Pb8 0.687 0.552 0.374 1
```

10.
DFT (PBE) results for a geometry-optimized Ca2TlGaF8 structure.

Results
- DOS at the Fermi energy: 0.00 states/eV per cell
- Symmetry: P-1 (2)
- Energy relative to the elements, uncorrected: -3.0949 eV/atom
- Magnetic moment: 0.00 μB per formula unit
- Energy: -5.125 eV/atom

The structure in CIF format:
```
data_Ca2TlGaF8
_cell_length_a 5.174
_cell_length_b 5.128
_cell_length_c 7.394
_cell_angle_alpha 89.89
_cell_angle_beta 89.92
_cell_angle_gamma 88.58
_symmetry_space_group_name_H-M 'P 1'
_symmetry_Int_Tables_number 1
loop_
_symmetry_equiv_pos_as_xyz
'x,y,z'
loop_
_atom_site_label
_atom_site_fract_x
_atom_site_fract_y
_atom_site_fract_z
_atom_site_occupancy
Ca1 0.500 0.500 0.757 1
Ca2 0.500 0.500 0.243 1
Tl1 0.000 0.000 0.500 1
Ga1 0.000 0.000 0.000 1
F1 0.176 0.796 0.181 1
F2 0.716 0.739 0.000 1
F3 0.823 0.203 0.181 1
F4 0.824 0.204 0.819 1
F5 0.284 0.261 0.000 1
F6 0.177 0.797 0.819 1
F7 0.614 0.708 0.500 1
F8 0.386 0.292 0.500 1
```